{"formula": "Be2InSn2Pd5", "functional": "PBE", "state": "relaxed", "cell": [[3.428, 0.000, 0.000], [0.000, 9.659, 0.000], [0.000, 0.000, 9.659]], "species": ["Pd", "Pd", "Pd", "Pd", "Pd", "Pd", "Pd", "Pd", "Pd", "Pd", "Sn", "Sn", "Sn", "Sn", "Be", "Be", "Be", "Be", "In", "In"], "fractional_positions": [[0.500, 0.789, 0.920], [0.500, 0.289, 0.580], [0.500, 0.711, 0.420], [0.500, 0.500, 0.000], [0.500, 0.920, 0.211], [0.500, 0.080, 0.789], [0.500, 0.580, 0.711], [0.500, 0.211, 0.080], [0.500, 0.420, 0.289], [0.500, 0.000, 0.500], [0.000, 0.672, 0.172], [0.000, 0.828, 0.672], [0.000, 0.172, 0.328], [0.000, 0.328, 0.828], [0.000, 0.876, 0.376], [0.000, 0.624, 0.876], [0.000, 0.376, 0.124], [0.000, 0.124, 0.624], [0.000, 0.000, 0.000], [0.000, 0.500, 0.500]], "formation_enthalpy_0k_kcal_per_mol_atoms": -9.36, "spacegroup": "P4/mbm, No. 127", "dft_energy_ev_per_atom": -4.822, "total_magnetization_mub_per_fu": 0.00, "dos_at_fermi_per_ev_atom": 0.424}